Record 1
## KP2IrCl (PBE-GGA)

Data for a geometry-optimized KP2IrCl structure.

Summary:
- Relative energy among the computed polymorphs: 0.00 kJ/mol of atoms

abc: 4.4352 4.4352 9.5323
angles: 90.00 90.00 90.00
Space group P4/mmm (No. 123)
Inequivalent atoms, fractional coordinates:
K (0.0000, 0.0000, 0.0000) x1
P (0.0000, 0.5000, 0.5000) x2
Ir (0.5000, 0.5000, 0.5000) x1
Cl (0.5000, 0.5000, 0.0000) x1



Record 2
## SiAu5 (PBE-GGA)

Data for a geometry-optimized SiAu5 structure.

abc: 5.4520 5.4520 4.7841
angles: 90.00 90.00 120.00
Space group P6/mmm (No. 191)
Inequivalent atoms, fractional coordinates:
Si (0.0000, 0.0000, 0.0000) x1
Au (0.0000, 0.5000, 0.5000) x3
Au (0.3333, 0.6667, 0.0000) x2



Computed DOS at the Fermi energy, in the same sequence as the records: 2.06 2.81 states/eV/cell.
Computed formation energy (no corrections), in the same sequence as the records: -0.2813 0.3634 eV/atom.
Computed spin magnetization, in the same sequence as the records: 0.00 0.00 μB/f.u..